The following is a DFT calculation (PBE) of an optimized crystal structure of Tl5Cu2Br12.

The calculation puts the calculated density at 5.6 Mg/m³. The size of the total moment is 4.8 μB per cell. The value obtained for the total energy is -2.606 eV/atom. For the uncorrected formation energy, the calculation gives -48 kJ/mol of atoms.

The structure belongs to space group C2/m (No. 12); the cell edges are 17.240, 8.115 and 9.497 Å and the angles 90.00°, 108.56° and 90.00°. The asymmetric unit holds Tl at (0.000, 0.000, 0.000), Tl at (0.190, 0.500, 0.348), Tl at (0.203, 0.500, 0.871), Cu at (0.000, 0.261, 0.500), Br at (0.003, 0.500, 0.690), Br at (0.005, 0.000, 0.692), Br at (0.124, 0.238, 0.073) and Br at (0.150, 0.250, 0.580).

=====

The following is a DFT calculation (PBE) of an optimized crystal structure of Tb5YMg.

The calculation puts the calculated density at 7.0 Mg/m³. As for the energy of formation: 0.11 eV per formula unit. The size of the total moment is 0.0 μB per cell. The value obtained for the total energy is -4.443 eV/atom.

The structure belongs to space group C2/m (No. 12); the cell edges are 11.991, 5.489 and 13.216 Å and the angles 90.00°, 94.95° and 90.00°. The asymmetric unit holds Tb at (0.064, 0.000, 0.132), Tb at (0.065, 0.000, 0.632), Tb at (0.138, 0.500, 0.804), Tb at (0.242, 0.000, 0.426), Tb at (0.242, 0.000, 0.926), Y at (0.136, 0.500, 0.303), Mg at (0.000, 0.500, 0.000) and Mg at (0.000, 0.500, 0.500).

=====

The following is a DFT calculation (PBE) of an optimized crystal structure of Ca2PmRuO8.

The calculation puts the calculated density at 4.6 Mg/m³. The size of the total moment is 2.2 μB per cell. The value obtained for the total energy is -6.655 eV/atom. For the uncorrected formation energy, the calculation gives -178 kJ/mol of atoms.

The structure belongs to space group P-1 (No. 2); the cell edges are 4.515, 5.252 and 6.972 Å and the angles 89.94°, 89.98° and 89.68°. The asymmetric unit holds Ca at (0.001, 0.001, 0.252), Pm at (0.500, 0.500, 0.500), Ru at (0.500, 0.500, 0.000), O at (0.048, 0.263, 0.500), O at (0.088, 0.389, 0.000), O at (0.426, 0.741, 0.199) and O at (0.427, 0.741, 0.801).

=====

The following is a DFT calculation (PBE) of an optimized crystal structure of TiBeNb2.

The calculation puts the calculated density at 6.5 Mg/m³. As for the energy of formation: 0.12 eV per formula unit. The size of the total moment is 0.0 μB per cell. The value obtained for the total energy is -7.910 eV/atom.

The structure belongs to space group P4/mmm (No. 123); the cell edges are 3.267, 3.267 and 5.822 Å and the angles 90.00°, 90.00° and 90.00°. The asymmetric unit holds Ti at (0.000, 0.000, 0.000), Be at (0.000, 0.000, 0.500) and Nb at (0.500, 0.500, 0.272).

=====

The following is a DFT calculation (PBE) of an optimized crystal structure of SiHg2Pb.

For the relative energy among the computed polymorphs, the calculation gives 21 meV/atom. The calculation puts the calculated density at 10.3 Mg/m³. The size of the total moment is 0.0 μB per cell. The value obtained for the total energy is -2.149 eV/atom. For the uncorrected formation energy, the calculation gives 27 kJ/mol of atoms.

The structure belongs to space group Imm2 (No. 44); the cell edges are 3.552, 4.358 and 13.287 Å and the angles 90.00°, 90.00° and 90.00°. The asymmetric unit holds Si at (0.000, 0.000, 0.000), Hg at (0.000, 0.000, 0.504), Hg at (0.000, 0.500, 0.686) and Pb at (0.000, 0.500, 0.313).

=====

The following is a DFT calculation (PBE) of an optimized crystal structure of CaAl2Tl2.

For the relative energy among the computed polymorphs, the calculation gives 1 meV/atom. The calculation puts the calculated density at 6.4 Mg/m³. As for the energy of formation: -0.12 eV per formula unit. The size of the total moment is 0.0 μB per cell. The value obtained for the total energy is -2.868 eV/atom.

The structure belongs to space group I4/mmm (No. 139); the cell edges are 4.816, 4.816 and 11.300 Å and the angles 90.00°, 90.00° and 90.00°. The asymmetric unit holds Ca at (0.000, 0.000, 0.000), Al at (0.000, 0.000, 0.388) and Tl at (0.000, 0.500, 0.250).